# 1
Sb2MoIO: optimized geometry, PBE with a Hubbard U.

Cell and atoms, written as POSCAR:
```
Sb2MoIO
1.0
5.340 0.000 0.000
0.000 5.340 0.000
0.000 0.000 5.429
Mo O Sb I
1 1 2 1
Direct
0.000 0.000 0.000 Mo
0.500 0.500 0.500 O
0.000 0.500 0.000 Sb
0.500 0.000 0.000 Sb
0.000 0.000 0.500 I
```

Values from the calculation:
- DOS at the Fermi energy: 6.9 states/eV/f.u.

# 2
Sb2MoIO: optimized geometry, PBE with a Hubbard U.

Cell and atoms, written as POSCAR:
```
Sb2MoIO
1.0
4.505 0.000 0.000
0.000 4.505 0.000
0.000 0.000 6.511
O Sb I Mo
1 2 1 1
Direct
0.000 0.000 0.000 O
0.000 0.500 0.000 Sb
0.500 0.000 0.000 Sb
0.000 0.000 0.500 I
0.500 0.500 0.500 Mo
```

Values from the calculation:
- DOS at the Fermi energy: 3.5 states/eV/f.u.

Record-wise VASP energy values, in eV/atom: -3.267 -4.038